(1)
VASP calculation (PBE) on crystalline ReIN2 at its relaxed geometry.

Calculated values
- energy above the lowest structure with this stoichiometry (meV/atom) = 1396
- calculated volume (Å³/atom) = 15.12
- raw total energy (eV per atom) = -5.982
- formation energy from raw total energies (eV per atom) = 1.680

Cell lengths 7.4946, 7.4946, 7.4946 Å; angles 23.85, 23.85, 23.85 degrees
Closest atoms and distances in Å follow each position.
Fractional positions:
Re  0.0000  0.0000  0.0000  2 N 1.85
I  0.5000  0.5000  0.5000  6 N 2.53
N  0.0848  0.0848  0.0848  1 Re 1.85
N  0.9152  0.9152  0.9152  1 Re 1.85

***

(2)
VASP calculation (PBE) on crystalline NaHgSN2 at its relaxed geometry.

Calculated values
- energy above the lowest structure with this stoichiometry (meV/atom) = 396
- calculated volume (Å³/atom) = 21.44
- raw total energy (eV per atom) = -2.616
- formation energy from raw total energies (eV per atom) = 1.864

Cell lengths 4.4068, 4.4068, 5.5190 Å; angles 90.00, 90.00, 90.00 degrees
Closest atoms and distances in Å follow each position.
Fractional positions:
Na  0.0000  0.0000  0.0000  4 N 2.20
Hg  0.5000  0.5000  0.5000  4 S 3.12
S  0.0000  0.0000  0.5000  2 Na 2.76
N  0.0000  0.5000  0.0000  2 Na 2.20
N  0.5000  0.0000  0.0000  2 Na 2.20

***

Question: The highest energy above the lowest structure with this stoichiometry belongs to which entry?
Answer: ReIN2